This record from Alexandria describes a relaxed Ca2YPaBi4 crystal. The functional is PBE.

a = 7.825 Å, b = 4.568 Å, c = 7.912 Å
α = 90.00°, β = 109.27°, γ = 90.00°
Sites, in units of the cell vectors:
1 Ca 0.000 0.000 0.000
2 Ca 0.500 0.500 0.000
3 Y 0.000 0.500 0.500
4 Pa 0.500 0.000 0.500
5 Bi 0.252 0.000 0.738
6 Bi 0.259 0.500 0.264
7 Bi 0.741 0.500 0.736
8 Bi 0.748 0.000 0.262

Values from the calculation:
V: 267 Å³ per cell
E_form: -0.669 eV/atom
Crystal system: monoclinic
Space-group type: No. 10